Density functional theory data (PBE) for a geometry-optimized CsMg3Ge structure.

POSCAR file:
```
CsMg3Ge
1.0
7.247 0.000 0.000
0.000 7.247 0.000
0.000 0.000 7.247
Cs Ge Mg
1 1 3
direct
0.000 0.000 0.000 Cs
0.500 0.500 0.500 Ge
0.000 0.500 0.000 Mg
0.000 0.000 0.500 Mg
0.500 0.000 0.000 Mg
```

Computed properties:
The excess energy over the best structure of this formula in the dataset is 1.163 eV per atom. The crystal system is cubic. As for the total energy: -0.601 eV/atom. As for the space-group type: Pm-3m, No. 221. The calculation puts the volume at 381 Å³ per cell.